A plane-wave DFT calculation with PBE was carried out for an optimized crystal structure of La4Y3Ho.

Size of the total moment   0.0 μB per formula unit
Theoretical density   5.9 g cm⁻³
ΔE_f   0.220 eV per atom
DFT total energy   -5.240 eV/atom

abc: 25.010 3.456 6.385
angles: 90.00 91.85 90.00
Space group C2/m (No. 12)
Asymmetric unit:
1 La 0.107 0.000 0.243
2 La 0.221 0.500 0.250
3 Y 0.000 0.000 0.500
4 Y 0.138 0.000 0.749
5 Ho 0.000 0.500 0.000

A plane-wave DFT calculation with PBE was carried out for an optimized crystal structure of LaY4Ho3.

Size of the total moment   0.0 μB per formula unit
Theoretical density   6.3 g cm⁻³
ΔE_f   0.031 eV per atom
Relative energy among the computed polymorphs   0 meV per atom
DFT total energy   -5.533 eV/atom

abc: 5.070 10.099 10.135
angles: 90.00 90.00 90.00
Space group Pmmn (No. 59, origin choice 2)
Asymmetric unit:
1 La 0.250 0.250 0.122
2 Y 0.250 0.250 0.626
3 Y 0.250 0.501 0.375
4 Y 0.250 0.750 0.623
5 Ho 0.250 0.001 0.875
6 Ho 0.250 0.750 0.126

A plane-wave DFT calculation with PBE was carried out for an optimized crystal structure of LaY6Ho12.

Size of the total moment   0.0 μB per formula unit
Theoretical density   6.7 g cm⁻³
ΔE_f   0.449 eV per atom
Relative energy among the computed polymorphs   12 meV per atom
DFT total energy   -4.743 eV/atom

abc: 13.3905 13.3905 12.6993
angles: 90.00 90.00 120.00
Space group R-3m (No. 166, hexagonal axes)
Asymmetric unit:
1 La 0.0000 0.0000 0.0000
2 Y 0.0229 0.5114 0.7169
3 Ho 0.0000 0.3818 0.5000
4 Ho 0.0954 0.1908 0.3744

A plane-wave DFT calculation with PBE was carried out for an optimized crystal structure of La10YHo4.

Size of the total moment   0.0 μB per formula unit
Theoretical density   6.6 g cm⁻³
ΔE_f   0.195 eV per atom
DFT total energy   -4.742 eV/atom

abc: 11.626 11.626 7.900
angles: 90.00 90.00 90.00
Space group I4/mmm (No. 139)
Asymmetric unit:
1 La 0.000 0.218 0.211
2 La 0.000 0.500 0.250
3 Y 0.000 0.000 0.500
4 Ho 0.230 0.230 0.500

A plane-wave DFT calculation with PBE was carried out for an optimized crystal structure of LaY12Ho6.

Size of the total moment   0.0 μB per formula unit
Theoretical density   5.8 g cm⁻³
ΔE_f   0.151 eV per atom
Relative energy among the computed polymorphs   125 meV per atom
DFT total energy   -5.637 eV/atom

abc: 11.9016 11.9016 15.3192
angles: 90.00 90.00 120.00
Space group R-3 (No. 148, hexagonal axes)
Asymmetric unit:
1 La 0.0000 0.0000 0.0000
2 Y 0.0151 0.1823 0.1911
3 Y 0.0404 0.1900 0.4150
4 Ho 0.0095 0.5867 0.6791

A plane-wave DFT calculation with PBE was carried out for an optimized crystal structure of La2Y12Ho.

Size of the total moment   0.0 μB per formula unit
Theoretical density   4.9 g cm⁻³
ΔE_f   0.163 eV per atom
DFT total energy   -5.971 eV/atom

abc: 7.126 11.451 24.979
angles: 90.00 90.00 90.00
Space group Cmme (No. 67)
Asymmetric unit:
1 La 0.000 0.250 0.232
2 La 0.000 0.250 0.767
3 Y 0.000 0.000 0.424
4 Y 0.000 0.001 0.062
5 Y 0.249 0.250 0.916
6 Y 0.250 0.000 0.173
7 Y 0.250 0.000 0.303
8 Y 0.250 0.250 0.376
9 Ho 0.000 0.250 0.500

A plane-wave DFT calculation with PBE was carried out for an optimized crystal structure of La4Y3Ho2.

Size of the total moment   0.0 μB per formula unit
Theoretical density   6.2 g cm⁻³
ΔE_f   0.031 eV per atom
Relative energy among the computed polymorphs   0 meV per atom
DFT total energy   -5.331 eV/atom

abc: 15.427 5.180 8.099
angles: 90.00 108.37 90.00
Space group C2/m (No. 12)
Asymmetric unit:
1 La 0.055 0.000 0.330
2 La 0.223 0.500 0.331
3 Y 0.000 0.500 0.000
4 Y 0.112 0.500 0.671
5 Ho 0.168 0.000 0.000

A plane-wave DFT calculation with PBE was carried out for an optimized crystal structure of LaY3Ho3.

Size of the total moment   0.0 μB per formula unit
Theoretical density   6.3 g cm⁻³
ΔE_f   0.209 eV per atom
Relative energy among the computed polymorphs   194 meV per atom
DFT total energy   -5.227 eV/atom

abc: 8.6854 8.6854 21.8651
angles: 90.00 90.00 120.00
Space group R-3 (No. 148, hexagonal axes)
Asymmetric unit:
1 La 0.0000 0.0000 0.1486
2 Y 0.0584 0.6090 0.3790
3 Ho 0.0061 0.7749 0.5591

What is the theoretical density in the seventh record?
6.2 g cm⁻³

DFT total energy of number 3 (LaY6Ho12)?
-4.743 eV/atom

What is the formula in the fifth record?
LaY12Ho6

DFT total energy of number 5 (LaY12Ho6)?
-5.637 eV/atom